# 1
MgZn2Cu4 | PBE-GGA | optimized geometry

For the formation energy from the elements, the calculation gives 0.4413 eV per atom. The spin magnetization is 0.0 μB per cell. For the relative energy among the computed polymorphs, the calculation gives 513 meV per atom. Its volume is 274.0 Å³/cell.

The structure belongs to space group I4/mmm (No. 139); the cell edges are 7.479, 7.479 and 4.899 Å and the angles 90.00°, 90.00° and 90.00°. The distinct sites, in fractional coordinates, are Mg at (0.000, 0.000, 0.000), Zn at (0.000, 0.500, 0.250) and Cu at (0.000, 0.219, 0.500).



# 2
MgZn2Cu | PBE-GGA | optimized geometry

For the formation energy from the elements, the calculation gives -0.0159 eV per atom. The spin magnetization is 0.0 μB per cell. Its volume is 122.7 Å³/cell.

The structure belongs to space group Cm (No. 8); the cell edges are 8.976, 2.908 and 4.814 Å and the angles 90.00°, 102.39° and 90.00°. The distinct sites, in fractional coordinates, are Mg at (0.000, 0.000, 0.000), Zn at (0.238, 0.000, 0.713), Zn at (0.489, 0.000, 0.487) and Cu at (0.252, 0.500, 0.245).



# 3
MgZnCu2 | PBE-GGA | optimized geometry

For the formation energy from the elements, the calculation gives -0.0864 eV per atom. The spin magnetization is 0.0 μB per cell. Its volume is 114.1 Å³/cell.

The structure belongs to space group Cm (No. 8); the cell edges are 9.594, 2.997 and 4.313 Å and the angles 90.00°, 113.08° and 90.00°. The distinct sites, in fractional coordinates, are Mg at (0.000, 0.000, 0.000), Zn at (0.274, 0.500, 0.295), Cu at (0.010, 0.500, 0.508) and Cu at (0.238, 0.000, 0.759).



# 4
Mg3Zn2Cu | PBE-GGA | optimized geometry

For the formation energy from the elements, the calculation gives -0.0869 eV per atom. The spin magnetization is 0.0 μB per cell. For the relative energy among the computed polymorphs, the calculation gives 0 meV per atom. Its volume is 206.0 Å³/cell.

The structure belongs to space group Cmmm (No. 65); the cell edges are 4.691, 13.989 and 3.139 Å and the angles 90.00°, 90.00° and 90.00°. The distinct sites, in fractional coordinates, are Mg at (0.000, 0.000, 0.000), Mg at (0.000, 0.341, 0.000), Zn at (0.000, 0.171, 0.500) and Cu at (0.000, 0.500, 0.500).